a) Density functional theory data (PBE) for a geometry-optimized HfSc3Cl structure.

a = 5.339 Å, b = 5.339 Å, c = 5.339 Å
α = 90.00°, β = 90.00°, γ = 90.00°
Space group Pm-3m (No. 221)
Symmetry-distinct sites (fractional):
Hf: 0.000 0.000 0.000 [1 per cell]
Sc: 0.000 0.000 0.500 [3 per cell]
Cl: 0.500 0.500 0.500 [1 per cell]

***

b) Density functional theory data (PBE) for a geometry-optimized HfSc3Cl structure.

a = 4.826 Å, b = 4.826 Å, c = 4.826 Å
α = 90.00°, β = 90.00°, γ = 90.00°
Space group Pm-3m (No. 221)
Symmetry-distinct sites (fractional):
Hf: 0.000 0.000 0.000 [1 per cell]
Sc: 0.000 0.500 0.500 [3 per cell]
Cl: 0.500 0.500 0.500 [1 per cell]

***

Consider the structures shown above. The most stable of them is b).